A geometry-optimized La8Bi4Te3Pb structure, computed with PBE-GGA.

Cell and atoms, written as POSCAR:
```
La8Bi4Te3Pb
1.0
9.326 0.000 0.000
0.000 9.320 -0.010
-4.663 -4.659 6.597
Pb Bi Te La
1 4 3 8
Cartesian
0.000 4.660 -0.005
-2.332 -2.330 3.299
0.000 0.000 0.000
2.332 -2.330 3.299
4.663 0.000 0.000
2.332 2.330 3.294
-2.332 2.330 3.294
4.663 4.660 -0.005
4.663 4.678 3.304
0.000 4.670 3.267
7.017 6.978 -0.001
2.310 6.978 -0.001
0.000 -0.018 3.284
2.354 -2.318 6.588
-2.354 -2.318 6.588
4.663 -0.010 3.320
```

Summary:
Raw formation energy = -1230 meV per atom
D(E_F) = 4.51 states/eV/cell
Crystal system = trigonal

A geometry-optimized La2BiPd structure, computed with PBE-GGA.

Cell and atoms, written as POSCAR:
```
La2BiPd
1.0
8.377 0.000 0.000
0.000 8.377 0.000
4.188 4.188 3.515
Bi Pd La
2 2 4
Cartesian
0.000 0.000 0.000
8.377 4.188 1.757
4.188 4.188 0.000
4.188 8.377 1.757
6.283 6.627 2.636
5.939 2.094 0.879
2.438 6.283 0.879
10.471 10.127 2.636
```

Summary:
Energy of formation from the pure elements = -0.605 eV/atom
D(E_F) = 7.81 states/eV/cell
Crystal system = tetragonal

What is the D(E_F) in the first record? 4.51 states/eV/cell

D(E_F) of number 1 (La8Bi4Te3Pb)? 4.51 states/eV/cell